# Ac2HoHfO6, optimized geometry, DFT PBE
data_Ac2HoHfO6
_cell_length_a 5.975
_cell_length_b 6.037
_cell_length_c 10.387
_cell_angle_alpha 90.00
_cell_angle_beta 125.04
_cell_angle_gamma 90.00
_space_group_name_H-M_alt 'P 1 21/c 1'
_space_group_IT_number 14
_space_group_name_Hall '-P 2ybc'
loop_
_atom_site_label
_atom_site_type_symbol
_atom_site_fract_x
_atom_site_fract_y
_atom_site_fract_z
Ac1 Ac 0.247 0.051 0.247
Ho1 Ho 0.500 0.000 0.000
Hf1 Hf 0.000 0.000 0.500
O1 O 0.137 0.203 0.956
O2 O 0.254 0.687 0.955
O3 O 0.327 0.030 0.742
# Calculated volume, Å³ per cell: 306.7
# ΔE_f (raw), eV/atom: -3.300
# N(E_F), states/eV/atom: 0.36